MnC2N2 | GGA-PBE | relaxed

POSCAR file:
```
MnC2N2
1.0
-5.920 1.546 0.423
-1.602 -5.647 -1.778
-0.059 -1.827 5.854
Mn C N
2 4 4
direct
0.000 0.000 0.000 Mn
0.500 0.500 0.500 Mn
0.803 0.803 0.197 C
0.803 0.197 0.803 C
0.197 0.803 0.803 C
0.197 0.197 0.197 C
0.693 0.693 0.307 N
0.693 0.307 0.693 N
0.307 0.693 0.693 N
0.307 0.307 0.307 N
```

Output
VASP energy: -8.550 eV per atom
Raw formation energy: 1.52 eV/f.u.